(1)
Here is an optimized crystal structure of BaCa3Mg4 from the Alexandria database. Energies are from PBE.

Lattice parameters (Å, degrees): 11.6216 7.9615 5.8077 90.00 90.00 90.00
With the nearest neighbours (Å) after each atom.
Space group Pmma (No. 51)
Unique sites:
Ba: 0.0000 0.0000 0.0000 [2 per cell]  8 Mg 3.62, 2 Ca 3.98
Ca: 0.0000 0.5000 0.0000 [2 per cell]  8 Mg 3.43
Ca: 0.2500 0.0000 0.4993 [2 per cell]  8 Mg 3.62, 2 Ca 3.98
Ca: 0.2500 0.5000 0.4994 [2 per cell]  8 Mg 3.43
Mg: 0.0000 0.2712 0.5000 [4 per cell]  6 Ca 3.43-3.62, 2 Ba 3.62, 1 Mg 3.64
Mg: 0.2500 0.2714 0.9991 [4 per cell]  6 Ca 3.43-3.62, 2 Ba 3.62, 1 Mg 3.64

The spin magnetization is 0.00 Bohr magnetons per cell. For the calculated formation energy, the calculation gives -46 kJ/mol of formula units. The uncorrected energy is -29.56 eV for the cell shown.

(2)
Here is an optimized crystal structure of ZnCrOs3 from the Alexandria database. Energies are from PBE.

Lattice parameters (Å, degrees): 4.4406 4.4406 4.4406 90.00 90.00 90.00
With the nearest neighbours (Å) after each atom.
Space group Pm-3m (No. 221)
Unique sites:
Zn: 0.0000 0.0000 0.0000 [1 per cell]  12 Os 3.14
Cr: 0.5000 0.5000 0.5000 [1 per cell]  6 Os 2.22
Os: 0.0000 0.5000 0.5000 [3 per cell]  2 Cr 2.22

The spin magnetization is 0.00 Bohr magnetons per cell. The relative energy among the computed polymorphs comes out at 0 meV per atom. For the calculated formation energy, the calculation gives 807 kJ/mol of formula units. The uncorrected energy is -36.22 eV for the cell shown.

(3)
Here is an optimized crystal structure of Mg4Zn2GaAg2 from the Alexandria database. Energies are from PBE.

Lattice parameters (Å, degrees): 5.0367 5.2352 6.8856 73.01 76.06 84.73
With the nearest neighbours (Å) after each atom.
Space group P-1 (No. 2)
Unique sites:
Mg: 0.0853 0.1878 0.2766 [2 per cell]  2 Ga 2.83-3.08, 3 Ag 2.84-3.00, 3 Zn 2.89-3.07, 4 Mg 3.01-3.15
Mg: 0.2023 0.2433 0.8166 [2 per cell]  3 Ag 2.78-2.97, 3 Zn 2.82-2.99, 1 Ga 2.88, 2 Mg 3.01-3.08
Zn: 0.3396 0.6955 0.9546 [2 per cell]  1 Zn 2.51
Ga: 0.5000 0.0000 0.5000 [1 per cell]  2 Ag 2.81, 6 Mg 2.83-3.08, 2 Zn 3.02
Ag: 0.2649 0.6109 0.3913 [2 per cell]  6 Mg 2.78-3.00, 1 Ga 2.81, 1 Zn 2.84, 2 Ag 2.89-3.06

The spin magnetization is 0.00 Bohr magnetons per cell. For the calculated formation energy, the calculation gives -84 kJ/mol of formula units. The uncorrected energy is -18.53 eV for the cell shown.

(4)
Here is an optimized crystal structure of CsZr2TcCl from the Alexandria database. Energies are from PBE.

Lattice parameters (Å, degrees): 5.0556 5.0556 4.5553 90.00 90.00 90.00
With the nearest neighbours (Å) after each atom.
Space group P4/mmm (No. 123)
Unique sites:
Cs: 0.0000 0.0000 0.0000 [1 per cell]  8 Zr 3.40, 4 Tc 3.57
Zr: 0.0000 0.5000 0.5000 [2 per cell]  2 Cl 2.53
Tc: 0.5000 0.5000 0.0000 [1 per cell]  2 Cl 2.28
Cl: 0.5000 0.5000 0.5000 [1 per cell]  2 Tc 2.28, 4 Zr 2.53

The spin magnetization is 0.00 Bohr magnetons per cell. The uncorrected energy is -25.38 eV for the cell shown. The value obtained for the uncorrected formation energy is 0.957 eV per atom.

(5)
Here is an optimized crystal structure of Zr2CrMo2 from the Alexandria database. Energies are from PBE.

Lattice parameters (Å, degrees): 6.3205 6.3205 4.6372 90.00 90.00 90.00
With the nearest neighbours (Å) after each atom.
Space group P4/mbm (No. 127)
Unique sites:
Zr: 0.1741 0.3259 0.0000 [4 per cell]  6 Mo 2.81-3.09, 1 Zr 3.11
Cr: 0.0000 0.0000 0.5000 [2 per cell]  4 Mo 2.42
Mo: 0.1474 0.6474 0.5000 [4 per cell]  2 Cr 2.42, 1 Mo 2.64

The spin magnetization is 0.00 Bohr magnetons per cell. The relative energy among the computed polymorphs comes out at 0 meV per atom. For the calculated formation energy, the calculation gives 120 kJ/mol of formula units. The uncorrected energy is -94.27 eV for the cell shown.

(6)
Here is an optimized crystal structure of Zr2BiSb from the Alexandria database. Energies are from PBE.

Lattice parameters (Å, degrees): 4.1784 4.1784 20.7474 90.00 90.00 120.00
With the nearest neighbours (Å) after each atom.
Space group R-3m (No. 166, hexagonal axes)
Unique sites:
Zr: 0.0000 0.0000 0.2418 [6 per cell]  3 Sb 2.87, 3 Bi 3.07
Bi: 0.0000 0.0000 0.0000 [3 per cell]  6 Zr 3.07
Sb: 0.0000 0.0000 0.5000 [3 per cell]  6 Zr 2.87

The spin magnetization is 0.00 Bohr magnetons per cell. The uncorrected energy is -79.90 eV for the cell shown. The value obtained for the uncorrected formation energy is -0.383 eV per atom.

(7)
Here is an optimized crystal structure of Li2SbH2 from the Alexandria database. Energies are from PBE.

Lattice parameters (Å, degrees): 6.8915 6.8915 3.2606 90.00 90.00 90.00
With the nearest neighbours (Å) after each atom.
Space group P4/mbm (No. 127)
Unique sites:
Li: 0.2266 0.2734 0.0000 [4 per cell]  6 H 2.77-2.80, 4 Sb 2.94
Sb: 0.0000 0.0000 0.5000 [2 per cell]  8 Li 2.94, 4 H 3.18, 2 Sb 3.26
H: 0.0396 0.5396 0.5000 [4 per cell]  1 H 0.77

The spin magnetization is 0.00 Bohr magnetons per cell. The relative energy among the computed polymorphs comes out at 3 meV per atom. The uncorrected energy is -31.64 eV for the cell shown.

(8)
Here is an optimized crystal structure of Sc2PbC from the Alexandria database. Energies are from PBE.

Lattice parameters (Å, degrees): 6.7520 6.7520 6.7520 90.00 90.00 90.00
With the nearest neighbours (Å) after each atom.
Space group Fm-3m (No. 225)
Unique sites:
Sc: 0.2500 0.2500 0.2500 [8 per cell]  4 Pb 2.92, 4 C 2.92
Pb: 0.0000 0.0000 0.0000 [4 per cell]  8 Sc 2.92
C: 0.0000 0.0000 0.5000 [4 per cell]  8 Sc 2.92

The spin magnetization is 0.00 Bohr magnetons per cell. For the calculated formation energy, the calculation gives 259 kJ/mol of formula units. The uncorrected energy is -91.64 eV for the cell shown.

(9)
Here is an optimized crystal structure of GdCoP from the Alexandria database. Energies are from PBE.

Lattice parameters (Å, degrees): 3.8689 3.8689 4.0184 90.00 90.00 120.00
With the nearest neighbours (Å) after each atom.
Space group P-6m2 (No. 187)
Unique sites:
Gd: 0.0000 0.0000 0.0000 [1 per cell]  6 P 3.00, 6 Co 3.00
Co: 0.6667 0.3333 0.5000 [1 per cell]  3 P 2.23
P: 0.3333 0.6667 0.5000 [1 per cell]  3 Co 2.23

The spin magnetization is 6.92 Bohr magnetons per cell. For the calculated formation energy, the calculation gives -300 kJ/mol of formula units. The uncorrected energy is -29.70 eV for the cell shown.

(10)
Here is an optimized crystal structure of Mn3Hg2 from the Alexandria database. Energies are from PBE.

Lattice parameters (Å, degrees): 3.0087 3.0087 31.9956 90.00 90.00 120.00
With the nearest neighbours (Å) after each atom.
Space group R-3m (No. 166, hexagonal axes)
Unique sites:
Mn: 0.0000 0.0000 0.0000 [3 per cell]  6 Hg 2.89, 6 Mn 3.01
Mn: 0.0000 0.0000 0.1864 [6 per cell]  3 Mn 2.15
Hg: 0.0000 0.0000 0.4056 [6 per cell]  6 Mn 2.89-2.95, 6 Hg 3.01

The spin magnetization is 10.97 Bohr magnetons per cell. The relative energy among the computed polymorphs comes out at 101 meV per atom. For the calculated formation energy, the calculation gives 257 kJ/mol of formula units. The uncorrected energy is -76.35 eV for the cell shown.

(11)
Here is an optimized crystal structure of LaAl2Pt from the Alexandria database. Energies are from PBE.

Lattice parameters (Å, degrees): 4.3609 4.3609 16.4169 90.00 90.00 120.00
With the nearest neighbours (Å) after each atom.
Space group R3m (No. 160, hexagonal axes)
Unique sites:
La: 0.0000 0.0000 0.0000 [3 per cell]  1 Pt 3.08, 7 Al 3.31-3.32
Al: 0.0000 0.0000 0.2019 [3 per cell]  3 Pt 2.68, 3 Al 2.77
Al: 0.0000 0.0000 0.4644 [3 per cell]  3 Pt 2.53, 3 Al 2.77
Pt: 0.0000 0.0000 0.8121 [3 per cell]  6 Al 2.53-2.68

The spin magnetization is 0.00 Bohr magnetons per cell. For the calculated formation energy, the calculation gives -330 kJ/mol of formula units. The uncorrected energy is -65.61 eV for the cell shown.

(12)
Here is an optimized crystal structure of Tl6Se3Cl from the Alexandria database. Energies are from PBE.

Lattice parameters (Å, degrees): 4.5346 7.3287 11.2481 84.29 78.39 72.17
With the nearest neighbours (Å) after each atom.
Space group P-1 (No. 2)
Unique sites:
Tl: 0.0323 0.2007 0.2277 [2 per cell]  3 Se 2.99-3.20, 1 Cl 3.26
Tl: 0.3184 0.2759 0.5878 [2 per cell]  3 Se 3.03-3.24, 2 Cl 3.15-3.16
Tl: 0.3355 0.7143 0.1176 [2 per cell]  3 Se 2.99-3.04
Se: 0.0000 0.5000 0.0000 [1 per cell]  6 Tl 3.03-3.20
Se: 0.3716 0.4267 0.3261 [2 per cell]  6 Tl 2.99-3.24
Cl: 0.0000 0.0000 0.5000 [1 per cell]  6 Tl 3.15-3.26

The spin magnetization is 0.00 Bohr magnetons per cell. The relative energy among the computed polymorphs comes out at 4 meV per atom. The uncorrected energy is -30.87 eV for the cell shown. The value obtained for the uncorrected formation energy is -0.437 eV per atom.